Here is a relaxed Er2HfCo2 crystal from Alexandria via LeMat-Bulk. Energies are from PBE-GGA.

Cell: 3.849 5.690 5.690 Å, 59.71 70.22 70.22°
Atoms (fractional coordinates):
Er 0.299 0.201 0.701
Er 0.701 0.799 0.299
Hf 0.500 0.500 0.000
Co 0.000 0.206 0.294
Co 0.000 0.794 0.706

Its excess energy over the best structure of this formula in the dataset is 0.015 eV per atom. The energy of formation from the pure elements is -1.33 eV per formula unit.

---

Here is a relaxed Ho10In3Pb3 crystal from Alexandria via LeMat-Bulk. Energies are from PBE-GGA.

Cell: 6.646 8.983 8.983 Å, 120.00 90.00 90.00°
Atoms (fractional coordinates):
Ho 0.244 0.667 0.333
Ho 0.244 0.333 0.667
Ho 0.756 0.333 0.667
Ho 0.756 0.667 0.333
Ho 0.500 0.000 0.765
Ho 0.500 0.765 0.000
Ho 0.500 0.235 0.235
Ho 0.000 0.000 0.236
Ho 0.000 0.236 0.000
Ho 0.000 0.764 0.764
In 0.000 0.000 0.601
In 0.000 0.601 0.000
In 0.000 0.399 0.399
Pb 0.500 0.000 0.399
Pb 0.500 0.399 0.000
Pb 0.500 0.601 0.601

The energy of formation from the pure elements is -7.25 eV per formula unit.

---

Here is a relaxed DyMgNi crystal from Alexandria via LeMat-Bulk. Energies are from PBE-GGA.

Cell: 3.885 7.472 12.663 Å, 90.00 90.00 90.00°
Atoms (fractional coordinates):
Dy 0.000 0.220 0.956
Dy 0.000 0.780 0.044
Dy 0.000 0.220 0.544
Dy 0.000 0.780 0.456
Dy 0.000 0.148 0.250
Dy 0.000 0.852 0.750
Mg 0.500 0.436 0.126
Mg 0.500 0.564 0.874
Mg 0.500 0.436 0.374
Mg 0.500 0.564 0.626
Mg 0.500 0.800 0.250
Mg 0.500 0.200 0.750
Ni 0.500 0.060 0.092
Ni 0.500 0.940 0.908
Ni 0.500 0.060 0.408
Ni 0.500 0.940 0.592
Ni 0.000 0.564 0.250
Ni 0.000 0.436 0.750

The energy of formation from the pure elements is -0.95 eV per formula unit.

---

Here is a relaxed KNaAgAu crystal from Alexandria via LeMat-Bulk. Energies are from PBE-GGA.

Cell: 5.190 5.190 5.190 Å, 60.00 60.00 60.00°
Atoms (fractional coordinates):
Na 0.500 0.500 0.500
K 0.250 0.250 0.250
Au 0.750 0.750 0.750
Ag 0.000 0.000 0.000

The energy of formation from the pure elements is -0.24 eV per formula unit.

---

Here is a relaxed BeRu2F crystal from Alexandria via LeMat-Bulk. Energies are from PBE-GGA.

Cell: 4.049 4.049 4.049 Å, 60.00 60.00 60.00°
Each line ends with the local moment (μB).
Atoms (fractional coordinates):
Ru 0.250 0.250 0.250  1.41
Ru 0.750 0.750 0.750  1.41
Be 0.000 0.000 0.000  -0.07
F 0.500 0.500 0.500  0.12

Its uncorrected formation energy is 0.3171 eV per atom. Its excess energy over the best structure of this formula in the dataset is 0.082 eV per atom.

---

Here is a relaxed LaYH3 crystal from Alexandria via LeMat-Bulk. Energies are from PBE-GGA.

Cell: 4.392 4.392 4.392 Å, 90.00 90.00 90.00°
Atoms (fractional coordinates):
Y 0.500 0.500 0.500
H 0.000 0.500 0.000
H 0.000 0.000 0.500
H 0.500 0.000 0.000
La 0.000 0.000 0.000

Its excess energy over the best structure of this formula in the dataset is 0.222 eV per atom.

---

Computed Fermi-level density of states (states/eV per cell) in order:
4.244 13.459 13.486 0.891 4.062 4.269